1.
VASP calculation (PBE) on an optimized crystal structure of PtPb.

Output
As for the space group: No. 164. The final energy comes out at -4.874 eV per atom. For the total magnetization, the calculation gives 0.0 μB per cell. The calculated formation energy is 1 meV/atom.

Cell lengths 3.8813, 3.8813, 7.7651 Å; angles 90.00, 90.00, 120.00 degrees
With the nearest neighbours (Å) after each atom.
Element x y z (fractional)
1 Pt 0.3333 0.6667 0.4009  3 Pt 2.72, 3 Pb 2.79
2 Pt 0.6667 0.3333 0.5991  3 Pt 2.72, 3 Pb 2.79
3 Pb 0.3333 0.6667 0.8128  3 Pt 2.79
4 Pb 0.6667 0.3333 0.1872  3 Pt 2.79

=====

2.
VASP calculation (PBE) on an optimized crystal structure of PtPb.

Output
As for the space group: No. 164. The final energy comes out at -4.984 eV per atom. For the total magnetization, the calculation gives 0.0 μB per cell. The calculated formation energy is -109 meV/atom.

Cell lengths 4.7985, 4.7985, 13.9511 Å; angles 90.00, 90.00, 120.00 degrees
With the nearest neighbours (Å) after each atom.
Element x y z (fractional)
1 Pt 0.0000 0.0000 0.0980  4 Pb 2.69-2.79, 4 Pt 2.73-2.89
2 Pt 0.0000 0.0000 0.9020  4 Pb 2.69-2.79, 4 Pt 2.73-2.89
3 Pt 0.3333 0.6667 0.1562  4 Pt 2.84-2.89, 3 Pb 3.00
4 Pt 0.3333 0.6667 0.3595  1 Pt 2.84, 7 Pb 2.92-2.95
5 Pt 0.6667 0.3333 0.6405  1 Pt 2.84, 7 Pb 2.92-2.95
6 Pt 0.6667 0.3333 0.8438  4 Pt 2.84-2.89, 3 Pb 3.00
7 Pb 0.0000 0.0000 0.2910  4 Pt 2.69-2.93
8 Pb 0.0000 0.0000 0.7090  4 Pt 2.69-2.93
9 Pb 0.3333 0.6667 0.5687  4 Pt 2.92-2.95
10 Pb 0.3333 0.6667 0.9262  6 Pt 2.79-3.00
11 Pb 0.6667 0.3333 0.0738  6 Pt 2.79-3.00
12 Pb 0.6667 0.3333 0.4313  4 Pt 2.92-2.95

=====

3.
VASP calculation (PBE) on an optimized crystal structure of PtPb8.

Output
As for the space group: No. 139. The final energy comes out at -3.935 eV per atom. For the total magnetization, the calculation gives 0.0 μB per cell. The calculated formation energy is 33 meV/atom.

Cell lengths 7.7129, 7.7129, 7.7129 Å; angles 95.74, 95.74, 143.11 degrees
With the nearest neighbours (Å) after each atom.
Element x y z (fractional)
1 Pt 0.0000 0.0000 0.0000  12 Pb 3.27-3.35
2 Pb 0.0000 0.3165 0.3165  1 Pt 3.27, 10 Pb 3.36-3.63
3 Pb 0.0000 0.6835 0.6835  1 Pt 3.27, 10 Pb 3.36-3.63
4 Pb 0.3165 0.0000 0.3165  1 Pt 3.27, 10 Pb 3.36-3.63
5 Pb 0.3429 0.3429 0.6858  8 Pb 3.25-3.56, 2 Pt 3.35
6 Pb 0.3429 0.6571 0.0000  8 Pb 3.25-3.56, 2 Pt 3.35
7 Pb 0.6571 0.3429 0.0000  8 Pb 3.25-3.56, 2 Pt 3.35
8 Pb 0.6571 0.6571 0.3142  8 Pb 3.25-3.56, 2 Pt 3.35
9 Pb 0.6835 0.0000 0.6835  1 Pt 3.27, 10 Pb 3.36-3.63

=====

4.
VASP calculation (PBE) on an optimized crystal structure of PtPb.

Output
As for the space group: No. 223. The final energy comes out at -4.618 eV per atom. For the total magnetization, the calculation gives 0.0 μB per cell. The calculated formation energy is 257 meV/atom.

Cell lengths 7.6617, 7.6617, 7.6617 Å; angles 90.00, 90.00, 90.00 degrees
With the nearest neighbours (Å) after each atom.
Element x y z (fractional)
1 Pt 0.0000 0.2500 0.5000  4 Pb 2.71
2 Pt 0.0000 0.7500 0.5000  4 Pb 2.71
3 Pt 0.2500 0.5000 0.0000  4 Pb 2.71
4 Pt 0.5000 0.0000 0.2500  4 Pb 2.71
5 Pt 0.5000 0.0000 0.7500  4 Pb 2.71
6 Pt 0.7500 0.5000 0.0000  4 Pb 2.71
7 Pb 0.0000 0.5000 0.2500  4 Pt 2.71
8 Pb 0.0000 0.5000 0.7500  4 Pt 2.71
9 Pb 0.2500 0.0000 0.5000  4 Pt 2.71
10 Pb 0.5000 0.2500 0.0000  4 Pt 2.71
11 Pb 0.5000 0.7500 0.0000  4 Pt 2.71
12 Pb 0.7500 0.0000 0.5000  4 Pt 2.71

=====

5.
VASP calculation (PBE) on an optimized crystal structure of Pt7Pb.

Output
As for the space group: No. 225. The final energy comes out at -5.784 eV per atom. For the total magnetization, the calculation gives 0.0 μB per cell. The calculated formation energy is -34 meV/atom.

Cell lengths 5.7251, 5.7251, 5.7251 Å; angles 60.00, 60.00, 60.00 degrees
With the nearest neighbours (Å) after each atom.
Element x y z (fractional)
1 Pt 0.0000 0.0000 0.0000  12 Pt 2.86
2 Pt 0.0000 0.0000 0.5000  2 Pb 2.86, 10 Pt 2.86
3 Pt 0.0000 0.5000 0.0000  2 Pb 2.86, 10 Pt 2.86
4 Pt 0.0000 0.5000 0.5000  2 Pb 2.86, 10 Pt 2.86
5 Pt 0.5000 0.0000 0.0000  2 Pb 2.86, 10 Pt 2.86
6 Pt 0.5000 0.0000 0.5000  2 Pb 2.86, 10 Pt 2.86
7 Pt 0.5000 0.5000 0.0000  2 Pb 2.86, 10 Pt 2.86
8 Pb 0.5000 0.5000 0.5000  12 Pt 2.86

=====

6.
VASP calculation (PBE) on an optimized crystal structure of PtPb.

Output
As for the space group: No. 194. The final energy comes out at -4.906 eV per atom. For the total magnetization, the calculation gives 0.0 μB per cell. The calculated formation energy is -32 meV/atom.

Cell lengths 4.5171, 4.5171, 11.2918 Å; angles 90.00, 90.00, 120.00 degrees
With the nearest neighbours (Å) after each atom.
Element x y z (fractional)
1 Pt 0.0000 0.0000 0.2500  3 Pt 2.61
2 Pt 0.0000 0.0000 0.7500  3 Pt 2.61
3 Pt 0.3333 0.6667 0.2500  3 Pt 2.61
4 Pt 0.6667 0.3333 0.7500  3 Pt 2.61
5 Pb 0.3333 0.6667 0.6022  6 Pt 3.10, 1 Pb 3.34
6 Pb 0.3333 0.6667 0.8978  6 Pt 3.10, 1 Pb 3.34
7 Pb 0.6667 0.3333 0.1022  6 Pt 3.10, 1 Pb 3.34
8 Pb 0.6667 0.3333 0.3978  6 Pt 3.10, 1 Pb 3.34

=====

7.
VASP calculation (PBE) on an optimized crystal structure of Pt3Pb.

Output
As for the space group: No. 221. The final energy comes out at -3.797 eV per atom. For the total magnetization, the calculation gives 0.0 μB per cell. The calculated formation energy is 1661 meV/atom.

Cell lengths 5.1551, 5.1551, 5.1551 Å; angles 90.00, 90.00, 90.00 degrees
With the nearest neighbours (Å) after each atom.
Element x y z (fractional)
1 Pt 0.0000 0.0000 0.5000  2 Pb 2.58
2 Pt 0.0000 0.5000 0.0000  2 Pb 2.58
3 Pt 0.5000 0.0000 0.0000  2 Pb 2.58
4 Pb 0.0000 0.0000 0.0000  6 Pt 2.58

=====

8.
VASP calculation (PBE) on an optimized crystal structure of PtPb.

Output
As for the space group: No. 87. The final energy comes out at -4.790 eV per atom. For the total magnetization, the calculation gives 0.0 μB per cell. The calculated formation energy is 85 meV/atom.

Cell lengths 11.0402, 11.0402, 4.3143 Å; angles 90.00, 90.00, 90.00 degrees
With the nearest neighbours (Å) after each atom.
Element x y z (fractional)
1 Pt 0.1833 0.7101 0.0000  4 Pb 2.68-2.89, 2 Pt 2.76
2 Pt 0.2101 0.3167 0.5000  4 Pb 2.68-2.89, 2 Pt 2.76
3 Pt 0.2899 0.1833 0.0000  4 Pb 2.68-2.89, 2 Pt 2.76
4 Pt 0.3167 0.7899 0.5000  4 Pb 2.68-2.89, 2 Pt 2.76
5 Pt 0.6833 0.2101 0.5000  4 Pb 2.68-2.89, 2 Pt 2.76
6 Pt 0.7101 0.8167 0.0000  4 Pb 2.68-2.89, 2 Pt 2.76
7 Pt 0.7899 0.6833 0.5000  4 Pb 2.68-2.89, 2 Pt 2.76
8 Pt 0.8167 0.2899 0.0000  4 Pb 2.68-2.89, 2 Pt 2.76
9 Pb 0.0592 0.3066 0.0000  4 Pt 2.68-2.89
10 Pb 0.1934 0.5592 0.5000  4 Pt 2.68-2.89
11 Pb 0.3066 0.9408 0.0000  4 Pt 2.68-2.89
12 Pb 0.4408 0.1934 0.5000  4 Pt 2.68-2.89
13 Pb 0.5592 0.8066 0.5000  4 Pt 2.68-2.89
14 Pb 0.6934 0.0592 0.0000  4 Pt 2.68-2.89
15 Pb 0.8066 0.4408 0.5000  4 Pt 2.68-2.89
16 Pb 0.9408 0.6934 0.0000  4 Pt 2.68-2.89

=====

9.
VASP calculation (PBE) on an optimized crystal structure of Pt3Pb.

Output
As for the space group: No. 166. The final energy comes out at -5.379 eV per atom. For the total magnetization, the calculation gives 0.0 μB per cell. The calculated formation energy is 79 meV/atom.

Cell lengths 9.1676, 9.1676, 2.9626 Å; angles 90.00, 90.00, 120.00 degrees
With the nearest neighbours (Å) after each atom.
Element x y z (fractional)
1 Pt 0.0000 0.5000 0.0000  2 Pb 2.82, 6 Pt 2.82-2.96
2 Pt 0.1667 0.3333 0.3333  6 Pt 2.82-2.96, 2 Pb 2.82
3 Pt 0.1667 0.8333 0.3333  2 Pb 2.82, 6 Pt 2.82-2.96
4 Pt 0.3333 0.1667 0.6667  6 Pt 2.82-2.96, 2 Pb 2.82
5 Pt 0.5000 0.0000 0.0000  2 Pb 2.82, 6 Pt 2.82-2.96
6 Pt 0.5000 0.5000 0.0000  6 Pt 2.82-2.96, 2 Pb 2.82
7 Pt 0.6667 0.8333 0.3333  6 Pt 2.82-2.96, 2 Pb 2.82
8 Pt 0.8333 0.1667 0.6667  2 Pb 2.82, 6 Pt 2.82-2.96
9 Pt 0.8333 0.6667 0.6667  6 Pt 2.82-2.96, 2 Pb 2.82
10 Pb 0.0000 0.0000 0.0000  6 Pt 2.82, 2 Pb 2.96
11 Pb 0.3333 0.6667 0.6667  6 Pt 2.82, 2 Pb 2.96
12 Pb 0.6667 0.3333 0.3333  6 Pt 2.82, 2 Pb 2.96

=====

10.
VASP calculation (PBE) on an optimized crystal structure of PtPb4.

Output
As for the space group: No. 229. The final energy comes out at -4.039 eV per atom. For the total magnetization, the calculation gives 0.0 μB per cell. The calculated formation energy is 136 meV/atom.

Cell lengths 6.7781, 6.7781, 6.7781 Å; angles 90.00, 90.00, 90.00 degrees
With the nearest neighbours (Å) after each atom.
Element x y z (fractional)
1 Pt 0.0000 0.0000 0.0000  8 Pb 2.93
2 Pt 0.5000 0.5000 0.5000  8 Pb 2.93
3 Pb 0.2500 0.2500 0.2500  2 Pt 2.93
4 Pb 0.2500 0.2500 0.7500  2 Pt 2.93
5 Pb 0.2500 0.7500 0.2500  2 Pt 2.93
6 Pb 0.2500 0.7500 0.7500  2 Pt 2.93
7 Pb 0.7500 0.2500 0.2500  2 Pt 2.93
8 Pb 0.7500 0.2500 0.7500  2 Pt 2.93
9 Pb 0.7500 0.7500 0.2500  2 Pt 2.93
10 Pb 0.7500 0.7500 0.7500  2 Pt 2.93

=====

11.
VASP calculation (PBE) on an optimized crystal structure of PtPb.

Output
As for the space group: No. 8. The final energy comes out at -4.984 eV per atom. For the total magnetization, the calculation gives 0.0 μB per cell. The calculated formation energy is -109 meV/atom.

Cell lengths 12.9130, 4.0195, 5.6299 Å; angles 90.00, 113.12, 90.00 degrees
With the nearest neighbours (Å) after each atom.
Element x y z (fractional)
1 Pt 0.0000 0.0000 0.0000  2 Pb 2.74-2.91, 4 Pt 2.83-2.85
2 Pt 0.1079 0.5000 0.3680  3 Pt 2.83-2.89, 6 Pb 2.85-3.04
3 Pt 0.3657 0.0000 0.1010  3 Pt 2.85-2.89, 6 Pb 2.87-3.14
4 Pt 0.5000 0.5000 0.0000  2 Pb 2.74-2.91, 4 Pt 2.83-2.85
5 Pt 0.6079 0.0000 0.3680  3 Pt 2.83-2.89, 6 Pb 2.85-3.04
6 Pt 0.8657 0.5000 0.1010  3 Pt 2.85-2.89, 6 Pb 2.87-3.14
7 Pb 0.1867 0.5000 0.9519  6 Pt 2.90-3.23
8 Pb 0.2770 0.0000 0.5468  4 Pt 2.85-3.14
9 Pb 0.4775 0.5000 0.4946  6 Pt 2.74-2.92
10 Pb 0.6867 0.0000 0.9519  6 Pt 2.90-3.23
11 Pb 0.7770 0.5000 0.5468  4 Pt 2.85-3.14
12 Pb 0.9775 0.0000 0.4946  6 Pt 2.74-2.92

=====

12.
VASP calculation (PBE) on an optimized crystal structure of PtPb3.

Output
As for the space group: No. 10. The final energy comes out at -4.370 eV per atom. For the total magnetization, the calculation gives 0.0 μB per cell. The calculated formation energy is -78 meV/atom. As for the energy above the most stable polymorph in this dataset: 62 meV per atom.

Cell lengths 3.4854, 3.3474, 9.2126 Å; angles 90.00, 90.15, 90.00 degrees
With the nearest neighbours (Å) after each atom.
Element x y z (fractional)
1 Pt 0.0000 0.0000 0.0000  8 Pb 2.99-3.00, 2 Pt 3.35
2 Pb 0.0000 0.0000 0.5000  12 Pb 3.35-3.73
3 Pb 0.4994 0.5000 0.8078  4 Pt 2.99-3.00, 2 Pb 3.35
4 Pb 0.5006 0.5000 0.1922  4 Pt 2.99-3.00, 2 Pb 3.35

=====

> What is the calculated formation energy in the seventh record?

1661 meV/atom